Record 1
An optimized crystal structure of Pm2PrP. Source: Alexandria, functional GGA-PBE.

Calculated values
Relative energy among the computed polymorphs in eV/atom: 0.000
Space group: R-3m
ΔE_f in eV per atom: -0.6859
Fermi-level density of states in states/eV per cell: 3.13

Geometry as POSCAR:
```
Pm2PrP
1.0
1.9584 1.1307 9.5907
-1.9584 1.1307 9.5907
0.0000 -2.2614 9.5907
Pm Pr P
2 1 1
direct
0.2254 0.2254 0.2254 Pm
0.7746 0.7746 0.7746 Pm
0.0000 0.0000 0.0000 Pr
0.5000 0.5000 0.5000 P
```

Record 2
An optimized crystal structure of SbPdRuO2. Source: Alexandria, functional GGA-PBE.

Calculated values
Space group: P4/mmm
Fermi-level density of states in states/eV per cell: 4.19

Geometry as POSCAR:
```
SbPdRuO2
1.0
3.7853 0.0000 0.0000
0.0000 3.7853 0.0000
0.0000 0.0000 5.6346
Sb Pd Ru O
1 1 1 2
direct
0.0000 0.0000 0.0000 Sb
0.5000 0.5000 0.0000 Pd
0.5000 0.5000 0.5000 Ru
0.0000 0.5000 0.5000 O
0.5000 0.0000 0.5000 O
```

Record 3
An optimized crystal structure of Er6AsP2Se3. Source: Alexandria, functional GGA-PBE.

Calculated values
Space group: C2/m
Fermi-level density of states in states/eV per cell: 4.12

Geometry as POSCAR:
```
Er6AsP2Se3
1.0
8.8128 -2.0037 0.0000
8.8128 2.0037 0.0000
-1.9656 0.0000 7.8507
Er As P Se
6 1 2 3
direct
0.0066 0.0066 0.2469 Er
0.3274 0.3274 0.4287 Er
0.3343 0.3343 0.8991 Er
0.6657 0.6657 0.1009 Er
0.6726 0.6726 0.5713 Er
0.9934 0.9934 0.7531 Er
0.5000 0.5000 0.0000 As
0.1669 0.1669 0.3343 P
0.8331 0.8331 0.6657 P
0.1653 0.1653 0.8336 Se
0.5000 0.5000 0.5000 Se
0.8347 0.8347 0.1664 Se
```

Record 4
An optimized crystal structure of ScHg. Source: Alexandria, functional GGA-PBE.

Calculated values
Space group: R-3m
ΔE_f in eV per atom: -0.2934
Fermi-level density of states in states/eV per cell: 1.54

Geometry as POSCAR:
```
ScHg
1.0
1.7280 0.9977 4.5255
-1.7280 0.9977 4.5255
0.0000 -1.9953 4.5255
Sc Hg
1 1
direct
0.0000 0.0000 0.0000 Sc
0.5000 0.5000 0.5000 Hg
```

Record 5
An optimized crystal structure of TbPmNd2Tl2. Source: Alexandria, functional GGA-PBE.

Calculated values
Space group: Pmc2_1
ΔE_f in eV per atom: -0.2725
Fermi-level density of states in states/eV per cell: 13.60

Geometry as POSCAR:
```
TbPmNd2Tl2
1.0
5.2245 0.0000 0.0000
0.0000 10.2546 0.0000
0.0000 0.0000 6.9257
Tb Pm Nd Tl
2 2 4 4
direct
0.0000 0.1856 0.0000 Tb
0.0000 0.8144 0.5000 Tb
0.5000 0.0430 0.2788 Pm
0.5000 0.9570 0.7788 Pm
0.0000 0.4555 0.3731 Nd
0.0000 0.5445 0.8731 Nd
0.5000 0.3166 0.6459 Nd
0.5000 0.6834 0.1459 Nd
0.0000 0.1291 0.5377 Tl
0.0000 0.8709 0.0377 Tl
0.5000 0.3576 0.1145 Tl
0.5000 0.6424 0.6145 Tl
```

Record 6
An optimized crystal structure of Ta2Ge2F. Source: Alexandria, functional GGA-PBE.

Calculated values
Relative energy among the computed polymorphs in eV/atom: 0.000
Space group: P4/mbm
Fermi-level density of states in states/eV per cell: 3.79

Geometry as POSCAR:
```
Ta2Ge2F
1.0
7.8329 0.0000 0.0000
0.0000 7.8329 0.0000
0.0000 0.0000 2.8802
Ta Ge F
4 4 2
direct
0.1318 0.3682 0.0000 Ta
0.3682 0.8682 0.0000 Ta
0.6318 0.1318 0.0000 Ta
0.8682 0.6318 0.0000 Ta
0.1626 0.6626 0.5000 Ge
0.3374 0.1626 0.5000 Ge
0.6626 0.8374 0.5000 Ge
0.8374 0.3374 0.5000 Ge
0.0000 0.0000 0.5000 F
0.5000 0.5000 0.5000 F
```

Record 7
An optimized crystal structure of MgTaCl3. Source: Alexandria, functional GGA-PBE.

Calculated values
Relative energy among the computed polymorphs in eV/atom: 0.000
Space group: Pm-3m
Fermi-level density of states in states/eV per cell: 4.13

Geometry as POSCAR:
```
MgTaCl3
1.0
4.9246 0.0000 0.0000
0.0000 4.9246 0.0000
0.0000 0.0000 4.9246
Mg Ta Cl
1 1 3
direct
0.0000 0.0000 0.0000 Mg
0.5000 0.5000 0.5000 Ta
0.0000 0.5000 0.5000 Cl
0.5000 0.0000 0.5000 Cl
0.5000 0.5000 0.0000 Cl
```

Record 8
An optimized crystal structure of LaEuCdSb. Source: Alexandria, functional GGA-PBE.

Calculated values
Space group: F-43m
Fermi-level density of states in states/eV per cell: 4.24

Geometry as POSCAR:
```
LaEuCdSb
1.0
0.0000 3.9215 3.9215
3.9215 0.0000 3.9215
3.9215 3.9215 0.0000
La Eu Cd Sb
1 1 1 1
direct
0.0000 0.0000 0.0000 La
0.5000 0.5000 0.5000 Eu
0.7500 0.7500 0.7500 Cd
0.2500 0.2500 0.2500 Sb
```

Record 9
An optimized crystal structure of Y2InO2. Source: Alexandria, functional GGA-PBE.

Calculated values
Relative energy among the computed polymorphs in eV/atom: 0.000
Space group: I4/mmm
Fermi-level density of states in states/eV per cell: 2.64

Geometry as POSCAR:
```
Y2InO2
1.0
-2.3245 2.3245 4.9585
2.3245 -2.3245 4.9585
2.3245 2.3245 -4.9585
Y In O
2 1 2
direct
0.2500 0.7500 0.5000 Y
0.7500 0.2500 0.5000 Y
0.0000 0.0000 0.0000 In
0.2622 0.2622 0.0000 O
0.7378 0.7378 0.0000 O
```

Record 10
An optimized crystal structure of Ho6SnTe3. Source: Alexandria, functional GGA-PBE.

Calculated values
Space group: P2_1/m
Fermi-level density of states in states/eV per cell: 20.19

Geometry as POSCAR:
```
Ho6SnTe3
1.0
12.0344 0.0000 0.0000
0.0000 4.1233 0.0000
-3.0908 0.0000 12.0797
Ho Sn Te
12 2 6
direct
0.0141 0.2500 0.3542 Ho
0.0791 0.2500 0.8824 Ho
0.2557 0.7500 0.2976 Ho
0.2899 0.7500 0.7623 Ho
0.3844 0.2500 0.5407 Ho
0.4492 0.7500 0.1241 Ho
0.5508 0.2500 0.8759 Ho
0.6156 0.7500 0.4593 Ho
0.7101 0.2500 0.2377 Ho
0.7443 0.2500 0.7024 Ho
0.9209 0.7500 0.1176 Ho
0.9859 0.7500 0.6458 Ho
0.4564 0.2500 0.3114 Sn
0.5436 0.7500 0.6886 Sn
0.1123 0.2500 0.1407 Te
0.1742 0.7500 0.5113 Te
0.3360 0.2500 0.9519 Te
0.6640 0.7500 0.0481 Te
0.8258 0.2500 0.4887 Te
0.8877 0.7500 0.8593 Te
```

Record 11
An optimized crystal structure of NbCr2Te. Source: Alexandria, functional GGA-PBE.

Calculated values
Space group: I-42d
Fermi-level density of states in states/eV per cell: 5.94

Geometry as POSCAR:
```
NbCr2Te
1.0
-2.0795 2.0795 8.7851
2.0795 -2.0795 8.7851
2.0795 2.0795 -8.7851
Nb Cr Te
2 4 2
direct
0.0000 0.0000 0.0000 Nb
0.7500 0.2500 0.5000 Nb
0.1197 0.6250 0.9947 Cr
0.3750 0.3697 0.4947 Cr
0.6303 0.1250 0.0053 Cr
0.8750 0.8803 0.5053 Cr
0.2500 0.7500 0.5000 Te
0.5000 0.5000 0.0000 Te
```

Record 12
An optimized crystal structure of Ca2Ce4P3O2. Source: Alexandria, functional GGA-PBE.

Calculated values
Space group: I4/mmm
Fermi-level density of states in states/eV per cell: 21.10

Geometry as POSCAR:
```
Ca2Ce4P3O2
1.0
-2.3129 2.3129 11.5778
2.3129 -2.3129 11.5778
2.3129 2.3129 -11.5778
Ca Ce P O
2 4 3 2
direct
0.2031 0.2031 0.0000 Ca
0.7969 0.7969 0.0000 Ca
0.0800 0.5800 0.5000 Ce
0.4200 0.9200 0.5000 Ce
0.5800 0.0800 0.5000 Ce
0.9200 0.4200 0.5000 Ce
0.3277 0.3277 0.0000 P
0.5000 0.5000 0.0000 P
0.6723 0.6723 0.0000 P
0.1034 0.1034 0.0000 O
0.8966 0.8966 0.0000 O
```

Record 13
An optimized crystal structure of BaLiUCl6. Source: Alexandria, functional GGA-PBE.

Calculated values
Space group: P-31c

Geometry as POSCAR:
```
BaLiUCl6
1.0
6.9549 0.0000 0.0000
-3.4774 6.0231 0.0000
0.0000 0.0000 13.4992
Ba Li U Cl
2 2 2 12
direct
0.0000 0.0000 0.0000 Ba
0.0000 0.0000 0.5000 Ba
0.3333 0.6667 0.2500 Li
0.6667 0.3333 0.7500 Li
0.3333 0.6667 0.7500 U
0.6667 0.3333 0.2500 U
0.0138 0.3684 0.1370 Cl
0.0138 0.6454 0.3630 Cl
0.3546 0.3684 0.3630 Cl
0.3546 0.9862 0.1370 Cl
0.3684 0.0138 0.6370 Cl
0.3684 0.3546 0.8630 Cl
0.6316 0.6454 0.1370 Cl
0.6316 0.9862 0.3630 Cl
0.6454 0.0138 0.8630 Cl
0.6454 0.6316 0.6370 Cl
0.9862 0.3546 0.6370 Cl
0.9862 0.6316 0.8630 Cl
```

Record 14
An optimized crystal structure of TbSm5Sc3. Source: Alexandria, functional GGA-PBE.

Calculated values
Space group: C2/m
ΔE_f in eV per atom: 0.4889
Fermi-level density of states in states/eV per cell: 29.51

Geometry as POSCAR:
```
TbSm5Sc3
1.0
5.6542 -5.6830 0.0000
5.6542 5.6830 0.0000
-2.9670 0.0000 9.7395
Tb Sm Sc
2 10 6
direct
0.2461 0.2461 0.2470 Tb
0.7539 0.7539 0.7530 Tb
0.2044 0.7195 0.1514 Sm
0.2449 0.7551 0.5000 Sm
0.2510 0.2510 0.5860 Sm
0.2622 0.2622 0.9212 Sm
0.2805 0.7956 0.8486 Sm
0.7195 0.2044 0.1514 Sm
0.7378 0.7378 0.0788 Sm
0.7490 0.7490 0.4140 Sm
0.7551 0.2449 0.5000 Sm
0.7956 0.2805 0.8486 Sm
0.0000 0.0000 0.0000 Sc
0.0022 0.0022 0.6666 Sc
0.4993 0.4993 0.8261 Sc
0.5000 0.5000 0.5000 Sc
0.5007 0.5007 0.1739 Sc
0.9978 0.9978 0.3334 Sc
```

Record 15
An optimized crystal structure of Tb7HoIn4. Source: Alexandria, functional GGA-PBE.

Calculated values
Space group: C2/m
ΔE_f in eV per atom: -0.1010
Fermi-level density of states in states/eV per cell: 13.59

Geometry as POSCAR:
```
Tb7HoIn4
1.0
7.2758 -2.8403 0.0000
7.2758 2.8403 0.0000
-5.7825 0.0000 8.6849
Tb Ho In
7 1 4
direct
0.0000 0.0000 0.0000 Tb
0.2230 0.2230 0.6648 Tb
0.2908 0.2908 0.1213 Tb
0.4361 0.4361 0.6040 Tb
0.5639 0.5639 0.3960 Tb
0.7092 0.7092 0.8787 Tb
0.7770 0.7770 0.3352 Tb
0.5000 0.5000 0.0000 Ho
0.0589 0.0589 0.7532 In
0.1811 0.1811 0.3346 In
0.8189 0.8189 0.6654 In
0.9411 0.9411 0.2468 In
```

Record 16
An optimized crystal structure of MnAs2Ru. Source: Alexandria, functional GGA-PBE.

Calculated values
Relative energy among the computed polymorphs in eV/atom: 0.005
Space group: Cm
ΔE_f in eV per atom: -0.0984
Fermi-level density of states in states/eV per cell: 2.37

Geometry as POSCAR:
```
MnAs2Ru
1.0
4.3556 -1.5806 0.0000
4.3556 1.5806 0.0000
-1.0941 0.0000 4.4296
Mn As Ru
1 2 1
direct
0.0000 0.0000 0.0000 Mn
0.4891 0.4891 0.4845 As
0.7318 0.7318 0.0799 As
0.2185 0.2185 0.6319 Ru
```

Record 17
An optimized crystal structure of LiBiRuRh. Source: Alexandria, functional GGA-PBE.

Calculated values
Space group: F-43m
ΔE_f in eV per atom: -0.0622
Fermi-level density of states in states/eV per cell: 2.15

Geometry as POSCAR:
```
LiBiRuRh
1.0
0.0000 3.1635 3.1635
3.1635 0.0000 3.1635
3.1635 3.1635 0.0000
Li Bi Ru Rh
1 1 1 1
direct
0.0000 0.0000 0.0000 Li
0.5000 0.5000 0.5000 Bi
0.7500 0.7500 0.7500 Ru
0.2500 0.2500 0.2500 Rh
```

Record 18
An optimized crystal structure of Mn3OsW. Source: Alexandria, functional GGA-PBE.

Calculated values
Space group: Pm-3m
ΔE_f in eV per atom: 1.7411
Fermi-level density of states in states/eV per cell: 10.56

Geometry as POSCAR:
```
Mn3OsW
1.0
4.5214 0.0000 0.0000
0.0000 4.5214 0.0000
0.0000 0.0000 4.5214
Mn Os W
3 1 1
direct
0.0000 0.0000 0.5000 Mn
0.0000 0.5000 0.0000 Mn
0.5000 0.0000 0.0000 Mn
0.0000 0.0000 0.0000 Os
0.5000 0.5000 0.5000 W
```

Record 19
An optimized crystal structure of PmThCdC. Source: Alexandria, functional GGA-PBE.

Calculated values
Space group: R3m
ΔE_f in eV per atom: -0.2262
Fermi-level density of states in states/eV per cell: 3.87

Geometry as POSCAR:
```
PmThCdC
1.0
1.8318 1.0576 8.4989
-1.8318 1.0576 8.4989
0.0000 -2.1152 8.4989
Pm Th Cd C
1 1 1 1
direct
0.0000 0.0000 0.0000 Pm
0.7789 0.7789 0.7789 Th
0.2255 0.2255 0.2255 Cd
0.3919 0.3919 0.3919 C
```

Record 20
An optimized crystal structure of InNiMo2. Source: Alexandria, functional GGA-PBE.

Calculated values
Space group: Cmm2
ΔE_f in eV per atom: 0.1931
Fermi-level density of states in states/eV per cell: 2.88

Geometry as POSCAR:
```
InNiMo2
1.0
1.7281 -2.1718 0.0000
1.7281 2.1718 0.0000
0.0000 0.0000 8.4662
In Ni Mo
1 1 2
direct
0.0000 0.0000 0.0000 In
0.5000 0.5000 0.7574 Ni
0.0000 0.0000 0.5405 Mo
0.5000 0.5000 0.2828 Mo
```

So what do the calculations give for E? Going down the list: -5.609, -6.069, -6.173, -3.610, -4.214, -7.098, -4.132, -5.705, -7.092, -4.949, -7.367, -6.613, -4.880, -4.758, -4.096, -7.034, -5.668, -8.597, -5.804, -7.352 eV/atom.